(1)
Here is ErZr2Pb after structural relaxation from the Alexandria database. Energies are from GGA-PBE.

Properties
The value obtained for the total magnetization is 0.0 μB/f.u. For the final energy, the calculation gives -73.2 eV/cell. For the formation energy, the calculation gives 0.240 eV/atom.

The structure in CIF format:
```
data_ErZr2Pb
_chemical_formula_sum 'Er3 Zr6 Pb3'
_cell_length_a 3.3055
_cell_length_b 3.3055
_cell_length_c 34.4306
_cell_angle_alpha 90.00
_cell_angle_beta 90.00
_cell_angle_gamma 120.00
_space_group_name_H-M_alt 'R -3 m'
_space_group_IT_number 166
_space_group_name_Hall '-R 3 2"'
loop_
_atom_site_label
_atom_site_fract_x
_atom_site_fract_y
_atom_site_fract_z
_atom_site_occupancy
Er1 0.0000 0.0000 0.0000 1
Zr1 0.0000 0.0000 0.4124 1
Pb1 0.0000 0.0000 0.5000 1
```


(2)
Here is Er3ZrPb2 after structural relaxation from the Alexandria database. Energies are from GGA-PBE.

Properties
The value obtained for the total magnetization is 0.5 μB/f.u. For the final energy, the calculation gives -31.9 eV/cell. For the formation energy, the calculation gives -0.369 eV/atom.

The structure in CIF format:
```
data_Er3ZrPb2
_chemical_formula_sum 'Er3 Zr1 Pb2'
_cell_length_a 4.4630
_cell_length_b 4.4630
_cell_length_c 8.3553
_cell_angle_alpha 90.00
_cell_angle_beta 90.00
_cell_angle_gamma 90.00
_space_group_name_H-M_alt 'P -4 m 2'
_space_group_IT_number 115
loop_
_space_group_symop_operation_xyz
'x,y,z'
'y,-x,-z'
'-x,-y,z'
'-y,x,-z'
'-x,y,z'
'-y,-x,-z'
'x,-y,z'
'y,x,-z'
loop_
_atom_site_label
_atom_site_fract_x
_atom_site_fract_y
_atom_site_fract_z
_atom_site_occupancy
Er1 0.0000 0.0000 0.0000 1
Er2 0.0000 0.5000 0.6637 1
Zr1 0.5000 0.5000 0.0000 1
Pb1 0.0000 0.5000 0.2816 1
```


(3)
Here is Er2ZrPb after structural relaxation from the Alexandria database. Energies are from GGA-PBE.

Properties
The value obtained for the total magnetization is 0.0 μB/f.u. For the final energy, the calculation gives -22.1 eV/cell. For the formation energy, the calculation gives -0.170 eV/atom.

The structure in CIF format:
```
data_Er2ZrPb
_chemical_formula_sum 'Er2 Zr1 Pb1'
_cell_length_a 4.7266
_cell_length_b 4.7266
_cell_length_c 4.6513
_cell_angle_alpha 90.00
_cell_angle_beta 90.00
_cell_angle_gamma 90.00
_space_group_name_H-M_alt 'P 4/m m m'
_space_group_IT_number 123
_space_group_name_Hall '-P 4 2'
loop_
_atom_site_label
_atom_site_fract_x
_atom_site_fract_y
_atom_site_fract_z
_atom_site_occupancy
Er1 0.0000 0.5000 0.0000 1
Zr1 0.0000 0.0000 0.5000 1
Pb1 0.5000 0.5000 0.5000 1
```


(4)
Here is Er2ZrPb after structural relaxation from the Alexandria database. Energies are from GGA-PBE.

Properties
The value obtained for the total magnetization is 0.0 μB/f.u. For the final energy, the calculation gives -63.1 eV/cell. For the formation energy, the calculation gives 0.086 eV/atom.

The structure in CIF format:
```
data_Er2ZrPb
_chemical_formula_sum 'Er6 Zr3 Pb3'
_cell_length_a 3.4230
_cell_length_b 3.4230
_cell_length_c 34.7248
_cell_angle_alpha 90.00
_cell_angle_beta 90.00
_cell_angle_gamma 120.00
_space_group_name_H-M_alt 'R -3 m'
_space_group_IT_number 166
_space_group_name_Hall '-R 3 2"'
loop_
_atom_site_label
_atom_site_fract_x
_atom_site_fract_y
_atom_site_fract_z
_atom_site_occupancy
Er1 0.0000 0.0000 0.0918 1
Zr1 0.0000 0.0000 0.5000 1
Pb1 0.0000 0.0000 0.0000 1
```


(5)
Here is ErZrPb2 after structural relaxation from the Alexandria database. Energies are from GGA-PBE.

Properties
The value obtained for the total magnetization is 0.0 μB/f.u. For the final energy, the calculation gives -21.3 eV/cell. For the formation energy, the calculation gives -0.204 eV/atom.

The structure in CIF format:
```
data_ErZrPb2
_chemical_formula_sum 'Er1 Zr1 Pb2'
_cell_length_a 4.8105
_cell_length_b 4.8105
_cell_length_c 4.4191
_cell_angle_alpha 90.00
_cell_angle_beta 90.00
_cell_angle_gamma 90.00
_space_group_name_H-M_alt 'P 4/m m m'
_space_group_IT_number 123
_space_group_name_Hall '-P 4 2'
loop_
_atom_site_label
_atom_site_fract_x
_atom_site_fract_y
_atom_site_fract_z
_atom_site_occupancy
Er1 0.0000 0.0000 0.0000 1
Zr1 0.5000 0.5000 0.0000 1
Pb1 0.0000 0.5000 0.5000 1
```


(6)
Here is ErZr2Pb after structural relaxation from the Alexandria database. Energies are from GGA-PBE.

Properties
The value obtained for the total magnetization is 0.0 μB/f.u. For the final energy, the calculation gives -75.7 eV/cell. For the formation energy, the calculation gives 0.031 eV/atom.

The structure in CIF format:
```
data_ErZr2Pb
_chemical_formula_sum 'Er3 Zr6 Pb3'
_cell_length_a 3.3706
_cell_length_b 3.3706
_cell_length_c 31.3227
_cell_angle_alpha 90.00
_cell_angle_beta 90.00
_cell_angle_gamma 120.00
_space_group_name_H-M_alt 'R 3 m'
_space_group_IT_number 160
_space_group_name_Hall 'R 3 -2"'
loop_
_atom_site_label
_atom_site_fract_x
_atom_site_fract_y
_atom_site_fract_z
_atom_site_occupancy
Er1 0.0000 0.0000 0.0000 1
Zr1 0.0000 0.0000 0.2484 1
Zr2 0.0000 0.0000 0.4180 1
Pb1 0.0000 0.0000 0.8334 1
```


(7)
Here is Er2Zr3Pb4 after structural relaxation from the Alexandria database. Energies are from GGA-PBE.

Properties
The value obtained for the total magnetization is 0.0 μB/f.u. For the final energy, the calculation gives -105.6 eV/cell. For the formation energy, the calculation gives -0.353 eV/atom.

The structure in CIF format:
```
data_Er2Zr3Pb4
_chemical_formula_sum 'Er4 Zr6 Pb8'
_cell_length_a 7.9949
_cell_length_b 7.9784
_cell_length_c 7.8138
_cell_angle_alpha 90.00
_cell_angle_beta 111.15
_cell_angle_gamma 90.00
_space_group_name_H-M_alt 'P 1 21/c 1'
_space_group_IT_number 14
loop_
_space_group_symop_operation_xyz
'x,y,z'
'-x,-y,-z'
'-x,y+1/2,-z+1/2'
'x,-y+1/2,z+1/2'
loop_
_atom_site_label
_atom_site_fract_x
_atom_site_fract_y
_atom_site_fract_z
_atom_site_occupancy
Er1 0.1831 0.1698 0.0510 1
Zr1 0.2528 0.6729 0.2450 1
Zr2 0.5000 0.0000 0.5000 1
Pb1 0.0848 0.5334 0.8413 1
Pb2 0.4800 0.1419 0.8542 1
```


(8)
Here is Er2ZrPb after structural relaxation from the Alexandria database. Energies are from GGA-PBE.

Properties
The value obtained for the total magnetization is 0.0 μB/f.u. For the final energy, the calculation gives -22.1 eV/cell. For the formation energy, the calculation gives -0.171 eV/atom.

The structure in CIF format:
```
data_Er2ZrPb
_chemical_formula_sum 'Er2 Zr1 Pb1'
_cell_length_a 3.3857
_cell_length_b 3.3857
_cell_length_c 9.5178
_cell_angle_alpha 90.00
_cell_angle_beta 90.00
_cell_angle_gamma 90.00
_space_group_name_H-M_alt 'P 4/m m m'
_space_group_IT_number 123
_space_group_name_Hall '-P 4 2'
loop_
_atom_site_label
_atom_site_fract_x
_atom_site_fract_y
_atom_site_fract_z
_atom_site_occupancy
Er1 0.0000 0.0000 0.2455 1
Zr1 0.5000 0.5000 0.0000 1
Pb1 0.5000 0.5000 0.5000 1
```


(9)
Here is ErZrPb2 after structural relaxation from the Alexandria database. Energies are from GGA-PBE.

Properties
The value obtained for the total magnetization is 0.0 μB/f.u. For the final energy, the calculation gives -63.6 eV/cell. For the formation energy, the calculation gives -0.170 eV/atom.

The structure in CIF format:
```
data_ErZrPb2
_chemical_formula_sum 'Er3 Zr3 Pb6'
_cell_length_a 3.4421
_cell_length_b 3.4421
_cell_length_c 30.8328
_cell_angle_alpha 90.00
_cell_angle_beta 90.00
_cell_angle_gamma 120.00
_space_group_name_H-M_alt 'R 3 m'
_space_group_IT_number 160
_space_group_name_Hall 'R 3 -2"'
loop_
_atom_site_label
_atom_site_fract_x
_atom_site_fract_y
_atom_site_fract_z
_atom_site_occupancy
Er1 0.0000 0.0000 0.0000 1
Zr1 0.0000 0.0000 0.8338 1
Pb1 0.0000 0.0000 0.4200 1
Pb2 0.0000 0.0000 0.5806 1
```


(10)
Here is ErZrPb2 after structural relaxation from the Alexandria database. Energies are from GGA-PBE.

Properties
The value obtained for the total magnetization is 0.0 μB/f.u. For the final energy, the calculation gives -21.4 eV/cell. For the formation energy, the calculation gives -0.206 eV/atom.

The structure in CIF format:
```
data_ErZrPb2
_chemical_formula_sum 'Er1 Zr1 Pb2'
_cell_length_a 3.9508
_cell_length_b 3.9508
_cell_length_c 6.6481
_cell_angle_alpha 90.00
_cell_angle_beta 90.00
_cell_angle_gamma 90.00
_space_group_name_H-M_alt 'P 4/m m m'
_space_group_IT_number 123
_space_group_name_Hall '-P 4 2'
loop_
_atom_site_label
_atom_site_fract_x
_atom_site_fract_y
_atom_site_fract_z
_atom_site_occupancy
Er1 0.0000 0.0000 0.0000 1
Zr1 0.0000 0.0000 0.5000 1
Pb1 0.5000 0.5000 0.2634 1
```